[1]
A relaxed structure of GeH2S2, computed with PBEsol.

Structure (POSCAR):
```
GeH2S2
1.0
7.033 0.000 0.000
0.000 7.033 0.000
0.000 0.000 2.987
Ge H S
2 4 4
Direct
0.000 0.000 0.000
0.500 0.500 0.000
0.141 0.359 0.500
0.359 0.859 0.500
0.641 0.141 0.500
0.859 0.641 0.500
0.199 0.301 0.000
0.301 0.801 0.000
0.699 0.199 0.000
0.801 0.699 0.000
```

Values from the calculation:
**Raw total energy**: -39.6 eV/cell
**Symmetry**: P4/mbm, No. 127

[2]
A relaxed structure of Ag17Pt12, computed with PBEsol.

Structure (POSCAR):
```
Ag17Pt12
1.0
-4.909 4.909 4.909
4.909 -4.909 4.909
4.909 4.909 -4.909
Ag Pt
17 12
Direct
0.000 0.000 0.000
0.000 0.000 0.646
0.000 0.410 0.686
0.000 0.646 0.000
0.000 0.686 0.410
0.276 0.590 0.590
0.314 0.314 0.724
0.314 0.724 0.314
0.354 0.354 0.354
0.410 0.000 0.686
0.410 0.686 0.000
0.590 0.276 0.590
0.590 0.590 0.276
0.646 0.000 0.000
0.686 0.000 0.410
0.686 0.410 0.000
0.724 0.314 0.314
0.000 0.188 0.372
0.000 0.372 0.188
0.184 0.812 0.812
0.188 0.000 0.372
0.188 0.372 0.000
0.372 0.000 0.188
0.372 0.188 0.000
0.628 0.628 0.816
0.628 0.816 0.628
0.812 0.184 0.812
0.812 0.812 0.184
0.816 0.628 0.628
```

Values from the calculation:
**Raw total energy**: -138.0 eV/cell
**Symmetry**: I-43m, No. 217
**Formation energy**: 0.0655 eV/atom

[3]
A relaxed structure of Li2Ni3TeO8, computed with PBEsol.

Structure (POSCAR):
```
Li2Ni3TeO8
1.0
4.950 -2.976 0.000
4.950 2.976 0.000
-3.713 0.000 4.887
Li Ni Te O
2 3 1 8
Direct
0.000 0.000 0.000
0.500 0.500 0.000
0.000 0.000 0.500
0.000 0.500 0.000
0.500 0.000 0.000
0.500 0.500 0.500
0.246 0.246 0.812
0.254 0.729 0.267
0.255 0.255 0.243
0.271 0.746 0.733
0.729 0.254 0.267
0.745 0.745 0.757
0.746 0.271 0.733
0.754 0.754 0.188
```

Values from the calculation:
**Raw total energy**: -83.4 eV/cell
**ΔE_f (raw)**: -1.107 eV per atom
**Symmetry**: C2/m, No. 12
**Energy above the lowest structure with this stoichiometry**: 7.2 kJ/mol of atoms

[4]
A relaxed structure of La8Bi3Sb3, computed with PBEsol.

Structure (POSCAR):
```
La8Bi3Sb3
1.0
6.819 -4.821 0.000
6.819 4.821 0.000
-6.813 0.000 6.822
La Bi Sb
8 3 3
Direct
0.069 0.572 0.890
0.074 0.074 0.397
0.222 0.433 0.260
0.428 0.931 0.110
0.564 0.283 0.740
0.567 0.778 0.740
0.717 0.436 0.260
0.926 0.926 0.603
0.324 0.179 0.878
0.821 0.676 0.122
0.943 0.057 0.000
0.196 0.557 0.628
0.443 0.804 0.372
0.699 0.301 0.500
```

Values from the calculation:
**Raw total energy**: -84.0 eV/cell
**ΔE_f (raw)**: -1.047 eV per atom
**Symmetry**: C2, No. 5

[5]
A relaxed structure of RbBiF6, computed with PBEsol.

Structure (POSCAR):
```
RbBiF6
1.0
3.877 2.239 2.605
-3.877 2.239 2.605
0.000 -4.477 2.605
Rb Bi F
1 1 6
Direct
0.000 0.000 0.000
0.500 0.500 0.500
0.172 0.282 0.577
0.282 0.577 0.172
0.423 0.828 0.718
0.577 0.172 0.282
0.718 0.423 0.828
0.828 0.718 0.423
```

Values from the calculation:
**Raw total energy**: -34.6 eV/cell
**ΔE_f (raw)**: -2.214 eV per atom
**Symmetry**: R-3, No. 148

[6]
A relaxed structure of CuPbBr2, computed with PBEsol.

Structure (POSCAR):
```
CuPbBr2
1.0
-1.815 2.624 5.120
1.815 -2.624 5.120
1.815 2.624 -5.120
Cu Pb Br
1 1 2
Direct
0.000 0.000 0.000
0.500 0.500 0.000
0.170 0.670 0.500
0.830 0.330 0.500
```

Values from the calculation:
**Raw total energy**: -13.1 eV/cell
**ΔE_f (raw)**: -0.259 eV per atom
**Symmetry**: Immm, No. 71
**Energy above the lowest structure with this stoichiometry**: 0.0 kJ/mol of atoms

Which of these has the lowest raw total energy? Ag17Pt12

Which of these has the highest raw total energy? CuPbBr2

The lowest raw total energy belongs to which entry? Ag17Pt12

What is the formula in the fifth record? RbBiF6